No. 1
Mo4Ru3Pt | GGA-PBE | optimized geometry

Lattice parameters (Å, degrees): 8.7106 3.9341 7.8386 90.00 116.67 90.00
Last column: nearest neighbours and their distance in Å.
Fractional positions:
1 Mo 0.2470 0.0000 0.1199  4 Mo 2.74-2.77, 7 Ru 2.74-2.79, 1 Pt 2.80
2 Mo 0.2471 0.5000 0.3687  5 Ru 2.72-2.79, 4 Mo 2.77-2.83, 3 Pt 2.77-2.78
3 Mo 0.2529 0.0000 0.6313  5 Ru 2.72-2.79, 4 Mo 2.77-2.83, 3 Pt 2.77-2.78
4 Mo 0.2530 0.5000 0.8801  4 Mo 2.74-2.77, 7 Ru 2.74-2.79, 1 Pt 2.80
5 Mo 0.7471 0.0000 0.3687  5 Ru 2.72-2.79, 4 Mo 2.77-2.83, 3 Pt 2.77-2.78
6 Mo 0.7470 0.5000 0.1199  4 Mo 2.74-2.77, 7 Ru 2.74-2.79, 1 Pt 2.80
7 Mo 0.7530 0.0000 0.8801  4 Mo 2.74-2.77, 7 Ru 2.74-2.79, 1 Pt 2.80
8 Mo 0.7529 0.5000 0.6313  5 Ru 2.72-2.79, 4 Mo 2.77-2.83, 3 Pt 2.77-2.78
9 Ru 0.0000 0.5000 0.0000  8 Mo 2.72-2.76, 4 Ru 2.78
10 Ru 0.0013 0.0000 0.2521  8 Mo 2.74-2.79, 2 Pt 2.77, 2 Ru 2.78
11 Ru 0.4987 0.5000 0.7479  8 Mo 2.74-2.79, 2 Pt 2.77, 2 Ru 2.78
12 Ru 0.5000 0.0000 0.0000  8 Mo 2.72-2.76, 4 Ru 2.78
13 Ru 0.5013 0.5000 0.2521  8 Mo 2.74-2.79, 2 Pt 2.77, 2 Ru 2.78
14 Ru 0.9987 0.0000 0.7479  8 Mo 2.74-2.79, 2 Pt 2.77, 2 Ru 2.78
15 Pt 0.0000 0.5000 0.5000  4 Ru 2.77, 8 Mo 2.77-2.80
16 Pt 0.5000 0.0000 0.5000  4 Ru 2.77, 8 Mo 2.77-2.80

Values from the calculation:
Energy of formation in eV per atom: -0.0782

***

No. 2
CsTeSe2 | GGA-PBE | optimized geometry

Lattice parameters (Å, degrees): 4.4619 4.4619 28.9208 90.00 90.00 120.00
Last column: nearest neighbours and their distance in Å.
Fractional positions:
1 Cs 0.0000 0.0000 0.0000  2 Se 3.44
2 Cs 0.3333 0.6667 0.6667  2 Se 3.44
3 Cs 0.6667 0.3333 0.3333  2 Se 3.44
4 Te 0.0000 0.0000 0.5000  6 Se 2.92
5 Te 0.3333 0.6667 0.1667  6 Se 2.92
6 Te 0.6667 0.3333 0.8333  6 Se 2.92
7 Se 0.0000 0.0000 0.1190  3 Te 2.92
8 Se 0.0000 0.0000 0.8810  3 Te 2.92
9 Se 0.3333 0.6667 0.5477  3 Te 2.92
10 Se 0.3333 0.6667 0.7857  3 Te 2.92
11 Se 0.6667 0.3333 0.2143  3 Te 2.92
12 Se 0.6667 0.3333 0.4523  3 Te 2.92

Values from the calculation:
Formation energy (no corrections) in meV per atom: -178

***

No. 3
BeBCl3 | GGA-PBE | optimized geometry

Lattice parameters (Å, degrees): 4.5054 4.5054 4.5054 90.00 90.00 90.00
Last column: nearest neighbours and their distance in Å.
Fractional positions:
1 Be 0.0000 0.0000 0.0000  6 Cl 2.25
2 B 0.5000 0.5000 0.5000  12 Cl 3.19
3 Cl 0.0000 0.0000 0.5000  2 Be 2.25
4 Cl 0.0000 0.5000 0.0000  2 Be 2.25
5 Cl 0.5000 0.0000 0.0000  2 Be 2.25

Values from the calculation:
Relative energy among the computed polymorphs in eV/atom: 0.000
Formation energy (no corrections) in meV per atom: 238